VASP calculation (PBE) on crystalline La6Sn2RuN at its relaxed geometry.

Cell: 7.4058 7.4211 7.4361 Å, 61.01 61.06 89.66°
Space group P-1 (No. 2)
Symmetry-distinct sites (fractional):
La: 0.1713 0.1946 0.0435 x2
La: 0.2682 0.7170 0.5127 x2
La: 0.2857 0.6911 0.0012 x2
Sn: 0.2473 0.2494 0.5000 x2
Ru: 0.5000 0.0000 0.0000 x1
N: 0.0000 0.5000 0.0000 x1

E_form (uncorrected): -652 meV per atom
DOS at the Fermi energy: 9.1 states/eV/f.u.



VASP calculation (PBE) on crystalline SrLaRuN2 at its relaxed geometry.

Cell: 5.4515 5.5537 7.0726 Å, 90.00 90.03 90.00°
Space group P2/c (No. 13)
Symmetry-distinct sites (fractional):
Sr: 0.0000 0.0005 0.2500 x2
La: 0.5000 0.5002 0.2500 x2
Ru: 0.5000 0.0000 0.0000 x2
N: 0.2785 0.2650 0.0000 x4

E_form (uncorrected): -449 meV per atom
DOS at the Fermi energy: 4.0 states/eV/f.u.



VASP calculation (PBE) on crystalline SrLa2RuN4 at its relaxed geometry.

Cell: 3.6133 12.5271 12.3305 Å, 90.00 90.00 90.00°
Space group Cmcm (No. 63)
Symmetry-distinct sites (fractional):
Sr: 0.0000 0.1172 0.2500 x4
La: 0.0000 0.3686 0.0358 x8
Ru: 0.0000 0.1574 0.7500 x4
N: 0.0000 0.0000 0.0000 x4
N: 0.0000 0.2619 0.6307 x8
N: 0.0000 0.4096 0.2500 x4

E_form (uncorrected): -720 meV per atom
DOS at the Fermi energy: 3.8 states/eV/f.u.



VASP calculation (PBE) on crystalline LaTb2RuN4 at its relaxed geometry.

Cell: 3.4820 11.8096 11.7044 Å, 90.00 90.00 90.00°
Space group Cmcm (No. 63)
Symmetry-distinct sites (fractional):
La: 0.0000 0.1141 0.2500 x4
Tb: 0.0000 0.3688 0.0429 x8
Ru: 0.0000 0.1486 0.7500 x4
N: 0.0000 0.0000 0.0000 x4
N: 0.0000 0.2670 0.6268 x8
N: 0.0000 0.4354 0.2500 x4

E_form (uncorrected): -1024 meV per atom
DOS at the Fermi energy: 2.9 states/eV/f.u.



VASP calculation (PBE) on crystalline La2TeRuN at its relaxed geometry.

Cell: 5.3948 5.3948 3.8975 Å, 90.00 90.00 90.00°
Space group P4/mmm (No. 123)
Symmetry-distinct sites (fractional):
La: 0.0000 0.5000 0.0000 x2
Te: 0.0000 0.0000 0.5000 x1
Ru: 0.5000 0.5000 0.5000 x1
N: 0.5000 0.5000 0.0000 x1

E_form (uncorrected): -974 meV per atom
DOS at the Fermi energy: 4.4 states/eV/f.u.



VASP calculation (PBE) on crystalline LaThRuN3 at its relaxed geometry.

Cell: 7.6136 3.5296 7.6773 Å, 90.00 98.48 90.00°
Space group P2_1/m (No. 11)
Symmetry-distinct sites (fractional):
La: 0.1862 0.2500 0.1670 x2
Th: 0.1800 0.2500 0.6420 x2
Ru: 0.4230 0.7500 0.9048 x2
N: 0.1319 0.7500 0.4150 x2
N: 0.1435 0.7500 0.8699 x2
N: 0.4602 0.7500 0.1776 x2

E_form (uncorrected): -885 meV per atom
DOS at the Fermi energy: 1.4 states/eV/f.u.



VASP calculation (PBE) on crystalline La2ThRuN4 at its relaxed geometry.

Cell: 3.4783 12.1768 12.1902 Å, 90.00 90.00 90.00°
Space group Cmcm (No. 63)
Symmetry-distinct sites (fractional):
La: 0.0000 0.1315 0.0506 x8
Th: 0.0000 0.3916 0.2500 x4
Ru: 0.0000 0.3456 0.7500 x4
N: 0.0000 0.0438 0.2500 x4
N: 0.0000 0.2164 0.6417 x8
N: 0.0000 0.5000 0.0000 x4

E_form (uncorrected): -946 meV per atom
DOS at the Fermi energy: 2.0 states/eV/f.u.



VASP calculation (PBE) on crystalline La2TiRuN at its relaxed geometry.

Cell: 5.4939 5.4939 4.3363 Å, 90.00 90.00 90.00°
Space group P4/mmm (No. 123)
Symmetry-distinct sites (fractional):
La: 0.0000 0.5000 0.0000 x2
Ti: 0.0000 0.0000 0.0000 x1
Ru: 0.0000 0.0000 0.5000 x1
N: 0.5000 0.5000 0.5000 x1

E_form (uncorrected): 1123 meV per atom
DOS at the Fermi energy: 7.7 states/eV/f.u.



VASP calculation (PBE) on crystalline La6Tl2RuN at its relaxed geometry.

Cell: 7.5582 10.7479 7.5397 Å, 90.00 90.00 90.00°
Space group Pmmn (No. 59, origin choice 2)
Symmetry-distinct sites (fractional):
La: 0.0037 0.2500 0.0241 x4
La: 0.0220 0.2500 0.5066 x4
La: 0.2500 0.0097 0.2530 x4
Tl: 0.2500 0.5012 0.7469 x4
Ru: 0.2500 0.7500 0.2753 x2
N: 0.2500 0.2500 0.2375 x2

E_form (uncorrected): -479 meV per atom
DOS at the Fermi energy: 8.3 states/eV/f.u.



VASP calculation (PBE) on crystalline LaY2RuN at its relaxed geometry.

Cell: 5.8210 5.8210 3.7828 Å, 90.00 90.00 90.00°
Space group P4/mmm (No. 123)
Symmetry-distinct sites (fractional):
La: 0.0000 0.0000 0.0000 x1
Y: 0.0000 0.5000 0.5000 x2
Ru: 0.5000 0.5000 0.5000 x1
N: 0.5000 0.5000 0.0000 x1

E_form (uncorrected): 281 meV per atom
DOS at the Fermi energy: 6.6 states/eV/f.u.



VASP calculation (PBE) on crystalline LaZnRu2N at its relaxed geometry.

Cell: 5.0057 5.0057 4.1938 Å, 90.00 90.00 90.00°
Space group P4/mmm (No. 123)
Symmetry-distinct sites (fractional):
La: 0.0000 0.0000 0.0000 x1
Zn: 0.5000 0.5000 0.5000 x1
Ru: 0.0000 0.5000 0.0000 x2
N: 0.0000 0.0000 0.5000 x1

E_form (uncorrected): 1732 meV per atom
DOS at the Fermi energy: 4.9 states/eV/f.u.



VASP calculation (PBE) on crystalline La2S2N at its relaxed geometry.

Cell: 6.6028 11.8319 5.8523 Å, 90.00 90.00 90.00°
Space group Ibam (No. 72)
Symmetry-distinct sites (fractional):
La: 0.2144 0.1073 0.0000 x8
S: 0.1634 0.3564 0.0000 x8
N: 0.0000 0.0000 0.2500 x4

E_form (uncorrected): -1658 meV per atom
DOS at the Fermi energy: 3.4 states/eV/f.u.



VASP calculation (PBE) on crystalline La4S3N at its relaxed geometry.

Cell: 8.2354 11.5021 4.0103 Å, 90.00 90.00 90.00°
Space group Cmmm (No. 65)
Symmetry-distinct sites (fractional):
La: 0.0000 0.2334 0.0000 x4
La: 0.2198 0.0000 0.5000 x4
S: 0.0000 0.5000 0.0000 x2
S: 0.2500 0.2500 0.5000 x4
N: 0.0000 0.0000 0.0000 x2

energy above the most stable polymorph in this dataset: 0.0 meV/atom
E_form (uncorrected): -1935 meV per atom
DOS at the Fermi energy: 3.9 states/eV/f.u.



VASP calculation (PBE) on crystalline LaSN at its relaxed geometry.

Cell: 7.3872 4.2539 10.0457 Å, 90.00 102.71 90.00°
Space group C2/m (No. 12)
Symmetry-distinct sites (fractional):
La: 0.0923 0.0000 0.3193 x4
S: 0.2106 0.5000 0.1905 x4
N: 0.0800 0.5000 0.5343 x4

energy above the most stable polymorph in this dataset: 122.7 meV/atom
E_form (uncorrected): -1238 meV per atom
DOS at the Fermi energy: 1.3 states/eV/f.u.



VASP calculation (PBE) on crystalline La4S3N2 at its relaxed geometry.

Cell: 12.9807 10.0983 6.5298 Å, 90.00 90.68 90.00°
Space group C2/c (No. 15)
Symmetry-distinct sites (fractional):
La: 0.1227 0.1771 0.4655 x8
La: 0.1602 0.4181 0.9329 x8
S: 0.0000 0.4020 0.2500 x4
S: 0.1180 0.1300 0.9762 x8
N: 0.2034 0.3739 0.5875 x8

energy above the most stable polymorph in this dataset: 4.7 meV/atom
E_form (uncorrected): -1943 meV per atom
DOS at the Fermi energy: 0.0 states/eV/f.u.



VASP calculation (PBE) on crystalline LaS3N at its relaxed geometry.

Cell: 5.6688 5.6688 5.6688 Å, 90.00 90.00 90.00°
Space group Pm-3m (No. 221)
Symmetry-distinct sites (fractional):
La: 0.0000 0.0000 0.0000 x1
S: 0.0000 0.0000 0.5000 x3
N: 0.5000 0.5000 0.5000 x1

energy above the most stable polymorph in this dataset: 1043.4 meV/atom
E_form (uncorrected): 814 meV per atom
DOS at the Fermi energy: 2.3 states/eV/f.u.



VASP calculation (PBE) on crystalline La8SN4 at its relaxed geometry.

Cell: 11.0570 11.0570 11.0570 Å, 90.00 90.00 90.00°
Space group F-43m (No. 216)
Symmetry-distinct sites (fractional):
La: 0.1098 0.1098 0.1098 x16
La: 0.1404 0.1404 0.6404 x16
S: 0.0000 0.0000 0.5000 x4
N: 0.1240 0.1240 0.8760 x16

E_form (uncorrected): -984 meV per atom
DOS at the Fermi energy: 10.4 states/eV/f.u.



VASP calculation (PBE) on crystalline La3SN at its relaxed geometry.

Cell: 4.9557 4.9557 4.9557 Å, 90.00 90.00 90.00°
Space group Pm-3m (No. 221)
Symmetry-distinct sites (fractional):
La: 0.0000 0.0000 0.5000 x3
S: 0.5000 0.5000 0.5000 x1
N: 0.0000 0.0000 0.0000 x1

energy above the most stable polymorph in this dataset: 0.0 meV/atom
E_form (uncorrected): -923 meV per atom
DOS at the Fermi energy: 5.2 states/eV/f.u.



VASP calculation (PBE) on crystalline La6S5N at its relaxed geometry.

Cell: 7.0952 12.2762 7.0949 Å, 90.00 109.50 90.00°
Space group C2/m (No. 12)
Symmetry-distinct sites (fractional):
La: 0.2318 0.0000 0.2652 x4
La: 0.2321 0.1553 0.7317 x8
S: 0.0000 0.1727 0.0000 x4
S: 0.0000 0.3340 0.5000 x4
S: 0.0000 0.5000 0.0000 x2
N: 0.0000 0.0000 0.5000 x2

E_form (uncorrected): -2012 meV per atom
DOS at the Fermi energy: 6.2 states/eV/f.u.



VASP calculation (PBE) on crystalline La4S3N2 at its relaxed geometry.

Cell: 6.7818 15.5897 4.0818 Å, 90.00 90.00 90.00°
Space group Pnnm (No. 58)
Symmetry-distinct sites (fractional):
La: 0.2189 0.0652 0.0000 x4
La: 0.2266 0.8446 0.5000 x4
S: 0.0000 0.5000 0.0000 x2
S: 0.2044 0.2019 0.5000 x4
N: 0.1259 0.9170 0.0000 x4

energy above the most stable polymorph in this dataset: 0.0 meV/atom
E_form (uncorrected): -1948 meV per atom